1.
BaLi3Bi2: relaxed, PBE.

a b c (Å): 17.520 4.898 8.611
angles (deg): 90.00 114.98 90.00
Space group C2/m (No. 12)
One atom of each set of equivalent atoms:
1 Ba 0.148 0.000 0.078 x4
2 Li 0.025 0.000 0.359 x4
3 Li 0.102 0.500 0.682 x4
4 Li 0.190 0.500 0.463 x4
5 Bi 0.024 0.500 0.194 x4
6 Bi 0.182 0.000 0.672 x4

energy of formation from the pure elements	-377	kJ/mol of formula units
spin magnetization	0.0	μB/f.u.
E	-3.22	eV per atom

2.
BaLiBi: relaxed, PBE.

a b c (Å): 5.069 5.069 7.792
angles (deg): 90.00 90.00 90.00
Space group P4/nmm (No. 129, origin choice 2)
One atom of each set of equivalent atoms:
1 Ba 0.250 0.250 0.187 x2
2 Li 0.250 0.750 0.500 x2
3 Bi 0.250 0.250 0.711 x2

energy of formation from the pure elements	-242	kJ/mol of formula units
spin magnetization	0.0	μB/f.u.
E	-3.41	eV per atom

3.
BaLiBi: relaxed, PBE.

a b c (Å): 4.914 7.084 7.126
angles (deg): 91.10 110.15 110.12
Space group P-1 (No. 2)
One atom of each set of equivalent atoms:
1 Ba 0.223 0.276 0.172 x2
2 Li 0.146 0.858 0.433 x2
3 Bi 0.475 0.186 0.766 x2

energy of formation from the pure elements	-207	kJ/mol of formula units
spin magnetization	0.0	μB/f.u.
E	-3.29	eV per atom

4.
BaLi2Bi2: relaxed, PBE.

a b c (Å): 9.299 9.299 3.473
angles (deg): 90.00 90.00 90.00
Space group P4/mbm (No. 127)
One atom of each set of equivalent atoms:
1 Ba 0.000 0.000 0.000 x2
2 Li 0.127 0.373 0.500 x4
3 Bi 0.157 0.657 0.000 x4

energy of formation from the pure elements	-204	kJ/mol of formula units
spin magnetization	0.3	μB/f.u.
E	-3.12	eV per atom

5.
BaLi3Bi: relaxed, PBE.

a b c (Å): 5.483 5.483 5.483
angles (deg): 90.00 90.00 90.00
Space group Pm-3m (No. 221)
One atom of each set of equivalent atoms:
1 Ba 0.000 0.000 0.000 x1
2 Li 0.000 0.000 0.500 x3
3 Bi 0.500 0.500 0.500 x1

energy of formation from the pure elements	381	kJ/mol of formula units
spin magnetization	1.7	μB/f.u.
E	-1.52	eV per atom

6.
Ba3Li4Bi4: relaxed, PBE.

a b c (Å): 4.970 4.982 28.584
angles (deg): 90.00 90.00 90.00
Space group Immm (No. 71)
One atom of each set of equivalent atoms:
1 Ba 0.000 0.000 0.000 x2
2 Ba 0.000 0.500 0.344 x4
3 Li 0.000 0.000 0.250 x4
4 Li 0.000 0.500 0.098 x4
5 Bi 0.000 0.000 0.445 x4
6 Bi 0.000 0.500 0.194 x4

energy of formation from the pure elements	-779	kJ/mol of formula units
spin magnetization	0.0	μB/f.u.
E	-3.37	eV per atom

7.
BaLiBi: relaxed, PBE.

a b c (Å): 4.797 4.797 9.515
angles (deg): 90.00 90.00 90.00
Space group I4mm (No. 107)
One atom of each set of equivalent atoms:
1 Ba 0.000 0.000 0.000 x2
2 Li 0.000 0.000 0.665 x2
3 Bi 0.000 0.000 0.359 x2

energy of formation from the pure elements	-147	kJ/mol of formula units
spin magnetization	0.0	μB/f.u.
E	-3.08	eV per atom

8.
BaLi3Bi3: relaxed, PBE.

a b c (Å): 7.580 7.580 7.580
angles (deg): 90.00 90.00 90.00
Space group Pm-3n (No. 223)
One atom of each set of equivalent atoms:
1 Ba 0.000 0.000 0.000 x2
2 Li 0.000 0.250 0.500 x6
3 Bi 0.000 0.500 0.250 x6

energy of formation from the pure elements	-169	kJ/mol of formula units
spin magnetization	0.0	μB/f.u.
E	-3.01	eV per atom